No. 1
Crystalline Ti6Pb2O at its relaxed geometry, computed with GGA-PBE.

Output
Density, g/cm3: 7.9
Raw total energy, eV per atom: -7.301
Spin magnetization, μB/f.u.: 0.00
Space-group type: P-3m1, No. 164

Cell and atoms, written as extended XYZ:
```
9
Lattice="-1.257 -1.591 -4.378 5.781 -1.145 -1.248 2.351 -5.396 1.281" Properties=species:S:1:pos:R:3 pbc="T T T"
Ti 3.500 -5.316 -0.486
Ti 6.489 -5.907 -1.128
Ti 5.273 -3.118 -1.793
Ti 3.375 -2.817 -3.860
Ti 0.386 -2.225 -3.217
Ti 1.602 -5.014 -2.552
Pb 4.464 -5.574 -3.314
Pb 2.411 -2.558 -1.031
O 0.000 0.000 0.000
```

---

No. 2
Crystalline TiTl2PbO6 at its relaxed geometry, computed with GGA-PBE.

Output
Density, g/cm3: 7.0
Raw total energy, eV per atom: -5.998
Spin magnetization, μB/f.u.: 0.00
Space-group type: C2/c, No. 15

Cell and atoms, written as extended XYZ:
```
20
Lattice="6.522 0.032 0.033 2.117 7.543 -0.870 2.117 -1.149 7.505" Properties=species:S:1:pos:R:3 pbc="T T T"
Ti 3.748 0.396 6.032
Ti 7.009 6.029 0.635
Tl 4.937 4.797 3.493
Tl 2.559 3.096 1.728
Tl 5.820 1.628 3.175
Tl 8.198 3.329 4.940
Pb 3.748 6.667 -0.011
Pb 7.009 -0.242 6.678
O 4.960 6.315 5.225
O 2.536 1.422 0.147
O 5.797 0.110 1.443
O 8.221 5.003 6.521
O 5.643 6.052 1.835
O 1.853 4.800 0.536
O 5.114 0.373 4.833
O 8.904 1.625 6.132
O 2.734 4.622 3.525
O 4.762 3.058 1.902
O 8.023 1.803 3.143
O 5.995 3.367 4.766
```

---

| no. | ΔE_f (raw) (kcal/mol of atoms) |
| --- | --- |
| 1 | -15.29 |
| 2 | -32.04 |